Here is crystalline K3Np2ZnO9 at its relaxed geometry from Alexandria. Energies are from PBE-GGA.

Calculated volume = 222 Å³/cell
Electronic total energy = -7.30 eV/atom

a = 5.9280 Å, b = 5.9280 Å, c = 7.2870 Å
α = 90.00°, β = 90.00°, γ = 120.00°
Space group P-3m1 (No. 164)
Asymmetric unit:
1 K 0.0000 0.0000 0.0000
2 K 0.3333 0.6667 0.6563
3 Np 0.3333 0.6667 0.1750
4 Zn 0.0000 0.0000 0.5000
5 O 0.0000 0.5000 0.0000
6 O 0.1724 0.3449 0.3270

Here is crystalline CdTcOs2 at its relaxed geometry from Alexandria. Energies are from PBE-GGA.

Calculated volume = 124 Å³/cell
Formation energy = 645 meV per atom
Electronic total energy = -7.79 eV/atom

a = 3.882 Å, b = 3.882 Å, c = 8.222 Å
α = 90.00°, β = 90.00°, γ = 90.00°
Space group I-4m2 (No. 119)
Asymmetric unit:
1 Cd 0.000 0.000 0.000
2 Tc 0.000 0.500 0.250
3 Os 0.000 0.000 0.500
4 Os 0.000 0.500 0.750